# ScZnIr

A relaxed ScZnIr crystal (GGA-PBE, the Alexandria database).

a = 4.189 Å, b = 5.065 Å, c = 5.304 Å
α = 90.00°, β = 90.00°, γ = 114.43°
Sites, in units of the cell vectors:
Sc  0.213  0.425  0.750
Sc  0.787  0.575  0.250
Zn  0.500  0.000  0.500
Zn  0.500  0.000  0.000
Ir  0.093  0.186  0.250
Ir  0.907  0.814  0.750

Calculated values
- Calculated formation energy: -0.690 eV/atom